1.
Entry from Alexandria via LeMat-Bulk: a relaxed structure of LiTlB2As (PBE-GGA).

```
data_LiTlB2As
_chemical_formula_sum 'Li1 Tl1 B2 As1'
_cell_length_a 4.2405
_cell_length_b 4.2405
_cell_length_c 4.7344
_cell_angle_alpha 90.00
_cell_angle_beta 90.00
_cell_angle_gamma 90.00
_space_group_name_H-M_alt 'P 4/m m m'
_space_group_IT_number 123
_space_group_name_Hall '-P 4 2'
loop_
_atom_site_label
_atom_site_type_symbol
_atom_site_fract_x
_atom_site_fract_y
_atom_site_fract_z
Li1 Li 0.0000 0.0000 0.0000
Tl1 Tl 0.5000 0.5000 0.5000
B1 B 0.0000 0.5000 0.0000
As1 As 0.0000 0.0000 0.5000
```

As for the volume: 85.13 Å³/cell. Its density is 6.01 g/cm3. As for the formation energy: 1.48 eV per atom. Its density of states at the Fermi level is 0.43 states/eV/atom.

2.
Entry from Alexandria via LeMat-Bulk: a relaxed structure of Li2HoGa (PBE-GGA).

```
data_Li2HoGa
_chemical_formula_sum 'Li8 Ho4 Ga4'
_cell_length_a 6.5822
_cell_length_b 6.5822
_cell_length_c 6.5822
_cell_angle_alpha 90.00
_cell_angle_beta 90.00
_cell_angle_gamma 90.00
_space_group_name_H-M_alt 'F m -3 m'
_space_group_IT_number 225
_space_group_name_Hall '-F 4 2 3'
loop_
_atom_site_label
_atom_site_type_symbol
_atom_site_fract_x
_atom_site_fract_y
_atom_site_fract_z
Li1 Li 0.2500 0.2500 0.2500
Ho1 Ho 0.0000 0.0000 0.0000
Ga1 Ga 0.0000 0.0000 0.5000
```

For the energy above the lowest structure with this stoichiometry, the calculation gives 12 meV per atom. As for the volume: 285.18 Å³/cell. Its density is 5.79 g/cm3. As for the formation energy: -0.25 eV per atom. Its density of states at the Fermi level is 0.37 states/eV/atom.

3.
Entry from Alexandria via LeMat-Bulk: a relaxed structure of MnTeS2 (PBE-GGA).

```
data_MnTeS2
_chemical_formula_sum 'Mn16 Te16 S32'
_cell_length_a 12.2062
_cell_length_b 9.9762
_cell_length_c 11.9243
_cell_angle_alpha 90.00
_cell_angle_beta 95.60
_cell_angle_gamma 90.00
_space_group_name_H-M_alt 'C 1 2/c 1'
_space_group_IT_number 15
loop_
_space_group_symop_operation_xyz
'x,y,z'
'-x,-y,-z'
'-x,y,-z+1/2'
'x,-y,z+1/2'
'x+1/2,y+1/2,z'
'-x+1/2,-y+1/2,-z'
'-x+1/2,y+1/2,-z+1/2'
'x+1/2,-y+1/2,z+1/2'
loop_
_atom_site_label
_atom_site_type_symbol
_atom_site_fract_x
_atom_site_fract_y
_atom_site_fract_z
Mn1 Mn 0.0590 0.1763 0.3399
Mn2 Mn 0.1556 0.0902 0.6673
Te1 Te 0.1196 0.3050 0.7793
Te2 Te 0.1938 0.4575 0.1679
S1 S 0.0000 0.0170 0.7500
S2 S 0.0000 0.3635 0.2500
S3 S 0.0618 0.0824 0.5039
S4 S 0.1350 0.1529 0.1714
S5 S 0.2119 0.2970 0.4208
```

As for the volume: 1445.11 Å³/cell. Its density is 4.54 g/cm3. The value obtained for the uncorrected formation energy is -157 meV/atom. Its density of states at the Fermi level is 0.45 states/eV/atom.

4.
Entry from Alexandria via LeMat-Bulk: a relaxed structure of Zr3NiSn (PBE-GGA).

```
data_Zr3NiSn
_chemical_formula_sum 'Zr3 Ni1 Sn1'
_cell_length_a 4.8647
_cell_length_b 4.8647
_cell_length_c 4.8647
_cell_angle_alpha 90.00
_cell_angle_beta 90.00
_cell_angle_gamma 90.00
_space_group_name_H-M_alt 'P m -3 m'
_space_group_IT_number 221
_space_group_name_Hall '-P 4 2 3'
loop_
_atom_site_label
_atom_site_type_symbol
_atom_site_fract_x
_atom_site_fract_y
_atom_site_fract_z
Zr1 Zr 0.0000 0.0000 0.5000
Ni1 Ni 0.0000 0.0000 0.0000
Sn1 Sn 0.5000 0.5000 0.5000
```

For the energy above the lowest structure with this stoichiometry, the calculation gives 0 meV per atom. As for the volume: 115.12 Å³/cell. Its density is 6.51 g/cm3. As for the formation energy: -0.09 eV per atom. Its density of states at the Fermi level is 0.67 states/eV/atom.

For reference, uncorrected energy by record: -14.899, -12.446, -21.196, -35.887 eV per formula unit.